Record 1
This record from Alexandria describes BeFeCo2 after structural relaxation. The functional is GGA-PBE.

Calculated values
ΔH_f (0 K) (meV/atom): -52.9

Structure (extended XYZ):
```
4
Lattice="4.2896 -0.0577 0.0000 1.6263 3.9697 0.0000 -2.9580 -1.9560 2.4142" Properties=species:S:1:pos:R:3 pbc="T T T"
Co 0.8132 1.9849 1.2071
Co 0.0000 0.0000 0.0000
Be 2.1448 -0.0289 1.2071
Fe 2.9580 1.9560 0.0000
```

Record 2
This record from Alexandria describes Zn2TeBr after structural relaxation. The functional is GGA-PBE.

Calculated values
Energy relative to the lowest polymorph listed for this composition (eV per atom): 0.1499

Structure (extended XYZ):
```
4
Lattice="5.7705 0.0551 -0.0560 -0.7974 5.7154 0.0560 -0.5391 -4.5636 3.4911" Properties=species:S:1:pos:R:3 pbc="T T T"
Te 0.5751 2.0185 1.7735
Zn 2.4462 2.8384 0.0000
Zn 0.0404 0.0468 0.0000
Br 3.8590 -0.8117 1.7175
```

Record 3
This record from Alexandria describes CsYGeO4 after structural relaxation. The functional is GGA-PBE.

Calculated values
Uncorrected energy (Ry/atom): -0.508

Structure (extended XYZ):
```
14
Lattice="5.7992 0.0000 -0.1288 0.0000 5.9974 0.0000 -2.4401 0.0000 7.7582" Properties=species:S:1:pos:R:3 pbc="T T T"
Y -0.1361 1.4994 4.1312
Y 3.4952 4.4981 3.4982
O 1.3228 1.4994 5.9918
O 2.0363 4.4981 1.6376
O 1.3669 4.4981 4.3095
O 3.9293 0.1537 5.0174
O 1.9922 1.4994 3.3199
O -0.5703 3.1525 2.6120
O -0.5703 5.8437 2.6120
O 3.9293 2.8450 5.0174
Cs 1.6070 1.4994 0.4812
Cs 1.7520 4.4981 7.1482
Ge 2.7326 1.4994 4.9268
Ge 0.6265 4.4981 2.7026
```

Record 4
This record from Alexandria describes In2BiPd4 after structural relaxation. The functional is GGA-PBE.

Calculated values
ΔH_f (0 K) (meV/atom): 277.1

Structure (extended XYZ):
```
7
Lattice="5.0501 0.0000 0.0000 0.0000 5.0501 0.0000 2.5251 2.5251 6.9273" Properties=species:S:1:pos:R:3 pbc="T T T"
Pd 2.5251 0.0000 0.0000
Pd 2.5251 2.5251 4.2629
Pd 0.0000 2.5251 0.0000
Pd 5.0501 5.0501 2.6643
Bi 0.0000 0.0000 0.0000
In 2.5251 2.5251 1.6673
In 5.0501 5.0501 5.2599
```

Record 5
This record from Alexandria describes La2Tl2Ga after structural relaxation. The functional is GGA-PBE.

Calculated values
ΔH_f (0 K) (meV/atom): -433.7
Energy relative to the lowest polymorph listed for this composition (eV per atom): 0.0000

Structure (extended XYZ):
```
10
Lattice="-1.7195 -4.1803 1.6945 -2.0925 -3.8343 -4.7064 8.6134 -6.1925 0.3399" Properties=species:S:1:pos:R:3 pbc="T T T"
Tl 4.1151 -4.8536 -0.9219
Tl 0.6863 -9.3534 -1.7501
Tl 0.1131 -2.8688 -0.0863
Tl 4.6883 -11.3383 -2.5857
Ga 4.7355 -7.4569 0.1615
Ga 0.0660 -6.7502 -2.8334
La -0.8824 -3.7172 -3.1895
La 1.1843 -6.0257 0.0886
La 3.6171 -8.1814 -2.7606
La 5.6838 -10.4899 0.5175
```

Record 6
This record from Alexandria describes La2MnTe after structural relaxation. The functional is GGA-PBE.

Calculated values
Uncorrected energy (Ry/atom): -0.425

Structure (extended XYZ):
```
4
Lattice="3.7876 0.0506 0.0000 -0.0505 3.7876 0.0000 0.0000 0.0000 8.3997" Properties=species:S:1:pos:R:3 pbc="T T T"
La 0.0000 0.0000 7.9067
La 1.8685 1.9191 2.6537
Te 1.8685 1.9191 5.9275
Mn 0.0000 0.0000 4.5114
```